Computed, not measured: a geometry-optimized ZrTa2Mo structure at the GGA-PBEsol level of DFT.

The structure belongs to space group Pm (No. 6); the cell edges are 2.885, 4.593 and 5.467 Å and the angles 90.00°, 100.88° and 90.00°. Symmetry generates all atoms from Zr at (0.000, 0.000, 0.000), Ta at (0.290, 0.500, 0.737), Ta at (0.565, 0.000, 0.487) and Mo at (0.779, 0.500, 0.251).

The value obtained for the calculated formation energy is 0.049 eV per atom. As for the crystal system: monoclinic. Its relative energy among the computed polymorphs is 71 meV per atom.

=====

Computed, not measured: a geometry-optimized ZrTaMo structure at the GGA-PBEsol level of DFT.

The structure belongs to space group I4mm (No. 107); the cell edges are 3.266, 3.266 and 10.161 Å and the angles 90.00°, 90.00° and 90.00°. Symmetry generates all atoms from Zr at (0.000, 0.000, 0.000), Ta at (0.000, 0.000, 0.309) and Mo at (0.000, 0.000, 0.671).

The value obtained for the calculated formation energy is -0.036 eV per atom. As for the crystal system: tetragonal. Its relative energy among the computed polymorphs is 0 meV per atom.

=====

Computed, not measured: a geometry-optimized ZrTa2Mo structure at the GGA-PBEsol level of DFT.

The structure belongs to space group P4/mmm (No. 123); the cell edges are 3.221, 3.221 and 6.940 Å and the angles 90.00°, 90.00° and 90.00°. Symmetry generates all atoms from Zr at (0.000, 0.000, 0.000), Ta at (0.500, 0.500, 0.279) and Mo at (0.000, 0.000, 0.500).

The value obtained for the calculated formation energy is -0.014 eV per atom. As for the crystal system: tetragonal. Its relative energy among the computed polymorphs is 7 meV per atom.

=====

Computed, not measured: a geometry-optimized ZrTa2Mo structure at the GGA-PBEsol level of DFT.

The structure belongs to space group Immm (No. 71); the cell edges are 3.247, 4.714 and 9.367 Å and the angles 90.00°, 90.00° and 90.00°. Symmetry generates all atoms from Zr at (0.000, 0.000, 0.000), Ta at (0.000, 0.500, 0.233) and Mo at (0.000, 0.000, 0.500).

The value obtained for the calculated formation energy is -0.021 eV per atom. As for the crystal system: orthorhombic. Its relative energy among the computed polymorphs is 0 meV per atom.

=====

Computed, not measured: a geometry-optimized ZrTa2Mo structure at the GGA-PBEsol level of DFT.

The structure belongs to space group F-43m (No. 216); the cell edges are 6.571, 6.571 and 6.571 Å and the angles 90.00°, 90.00° and 90.00°. Symmetry generates all atoms from Zr at (0.000, 0.000, 0.000), Ta at (0.000, 0.000, 0.500), Ta at (0.250, 0.250, 0.250) and Mo at (0.250, 0.250, 0.750).

The value obtained for the calculated formation energy is 0.053 eV per atom. As for the crystal system: cubic. Its relative energy among the computed polymorphs is 74 meV per atom.

=====

Computed, not measured: a geometry-optimized Tc7Mo structure at the GGA-PBEsol level of DFT.

The structure belongs to space group Fm-3m (No. 225); the cell edges are 7.683, 7.683 and 7.683 Å and the angles 90.00°, 90.00° and 90.00°. Symmetry generates all atoms from Tc at (0.000, 0.000, 0.000), Tc at (0.000, 0.250, 0.250) and Mo at (0.000, 0.000, 0.500).

The value obtained for the calculated formation energy is 0.099 eV per atom. As for the crystal system: cubic.